ReMoO2 (GGA+U, relaxed); total moment = 1.00 μB/f.u.; energy relative to the lowest polymorph listed for this composition = 445 meV/atom
1.0
3.932 0.000 0.000
0.000 3.932 0.000
0.000 0.000 12.605
Re Mo O
4 4 8
Cartesian
0.000 0.000 0.000 Re
0.000 1.966 3.151 Re
1.966 0.000 9.454 Re
1.966 1.966 6.302 Re
0.000 0.000 6.302 Mo
0.000 1.966 9.454 Mo
1.966 0.000 3.151 Mo
1.966 1.966 0.000 Mo
0.941 0.983 1.576 O
0.983 2.907 4.727 O
0.983 2.991 11.029 O
1.025 0.983 7.878 O
2.907 2.949 7.878 O
2.949 0.941 11.029 O
2.949 1.025 4.727 O
2.991 2.949 1.576 O